Hf3Au: optimized geometry, PBE.

Cell: 4.345 4.345 4.345 Å, 90.00 90.00 90.00°
Fractional positions:
Hf  0.000  0.000  0.500
Hf  0.000  0.500  0.000
Hf  0.500  0.000  0.000
Au  0.500  0.500  0.500

Summary:
The density of states at the Fermi level is 5.5 states/eV per cell. For the total magnetization, the calculation gives 0.000 μB per formula unit. The value obtained for the calculated formation energy is -72 kJ/mol of formula units. As for the space group: Pm-3m.



HfAu3: optimized geometry, PBE.

Cell: 4.875 6.101 4.947 Å, 90.00 90.00 90.00°
Fractional positions:
Hf  0.250  0.250  0.160
Hf  0.750  0.750  0.840
Au  0.250  0.502  0.664
Au  0.250  0.750  0.155
Au  0.250  0.998  0.664
Au  0.750  0.002  0.336
Au  0.750  0.250  0.845
Au  0.750  0.498  0.336

Summary:
The density of states at the Fermi level is 2.5 states/eV per cell. For the total magnetization, the calculation gives 0.000 μB per formula unit. The value obtained for the calculated formation energy is -185 kJ/mol of formula units. As for the space group: Pmmn.



Hf3Au: optimized geometry, PBE.

Cell: 3.086 3.106 9.316 Å, 90.00 90.00 90.00°
Fractional positions:
Hf  0.000  0.000  0.000
Hf  0.000  0.500  0.468
Hf  0.500  0.500  0.770
Au  0.500  0.000  0.267

Summary:
The density of states at the Fermi level is 3.8 states/eV per cell. For the total magnetization, the calculation gives 0.000 μB per formula unit. The value obtained for the calculated formation energy is 8 kJ/mol of formula units. As for the space group: Pmm2.



Hf3Au: optimized geometry, PBE.

Cell: 4.218 4.218 9.230 Å, 90.00 90.00 90.00°
Fractional positions:
Hf  0.000  0.000  0.000
Hf  0.000  0.500  0.250
Hf  0.000  0.500  0.750
Hf  0.500  0.000  0.250
Hf  0.500  0.000  0.750
Hf  0.500  0.500  0.500
Au  0.000  0.000  0.500
Au  0.500  0.500  0.000

Summary:
The density of states at the Fermi level is 11.3 states/eV per cell. For the total magnetization, the calculation gives 0.000 μB per formula unit. The value obtained for the calculated formation energy is -73 kJ/mol of formula units. As for the space group: I4/mmm.



HfHgAu2: optimized geometry, PBE.

Cell: 3.307 3.307 7.310 Å, 90.00 90.00 90.00°
Fractional positions:
Hf  0.000  0.000  0.000
Hg  0.000  0.000  0.500
Au  0.500  0.500  0.233
Au  0.500  0.500  0.767

Summary:
The density of states at the Fermi level is 2.3 states/eV per cell. For the total magnetization, the calculation gives 0.000 μB per formula unit. The value obtained for the calculated formation energy is -106 kJ/mol of formula units. As for the space group: P4/mmm.



Hf2HgAu: optimized geometry, PBE.

Cell: 3.351 3.351 7.275 Å, 90.00 90.00 90.00°
Fractional positions:
Hf  0.000  0.000  0.240
Hf  0.000  0.000  0.760
Hg  0.500  0.500  0.500
Au  0.500  0.500  0.000

Summary:
The density of states at the Fermi level is 4.0 states/eV per cell. For the total magnetization, the calculation gives 0.000 μB per formula unit. The value obtained for the calculated formation energy is -78 kJ/mol of formula units. As for the space group: P4/mmm.



HfHg2Au: optimized geometry, PBE.

Cell: 6.868 6.868 6.868 Å, 90.00 90.00 90.00°
Fractional positions:
Hf  0.000  0.000  0.000
Hf  0.000  0.500  0.500
Hf  0.500  0.000  0.500
Hf  0.500  0.500  0.000
Hg  0.250  0.250  0.250
Hg  0.250  0.250  0.750
Hg  0.250  0.750  0.250
Hg  0.250  0.750  0.750
Hg  0.750  0.250  0.250
Hg  0.750  0.250  0.750
Hg  0.750  0.750  0.250
Hg  0.750  0.750  0.750
Au  0.000  0.000  0.500
Au  0.000  0.500  0.000
Au  0.500  0.000  0.000
Au  0.500  0.500  0.500

Summary:
The density of states at the Fermi level is 9.8 states/eV per cell. For the total magnetization, the calculation gives 0.000 μB per formula unit. Its energy above the most stable polymorph in this dataset is 0 meV per atom. The value obtained for the calculated formation energy is 7 kJ/mol of formula units. As for the space group: Fm-3m.



HfHgAu2: optimized geometry, PBE.

Cell: 7.738 7.738 5.873 Å, 90.00 90.00 90.00°
Fractional positions:
Hf  0.000  0.000  0.000
Hf  0.000  0.500  0.250
Hf  0.500  0.000  0.750
Hf  0.500  0.500  0.500
Hg  0.000  0.000  0.500
Hg  0.000  0.500  0.750
Hg  0.500  0.000  0.250
Hg  0.500  0.500  0.000
Au  0.232  0.250  0.125
Au  0.250  0.732  0.375
Au  0.250  0.768  0.875
Au  0.268  0.250  0.625
Au  0.732  0.750  0.625
Au  0.750  0.232  0.875
Au  0.750  0.268  0.375
Au  0.768  0.750  0.125

Summary:
The density of states at the Fermi level is 15.5 states/eV per cell. For the total magnetization, the calculation gives 0.000 μB per formula unit. The value obtained for the calculated formation energy is 12 kJ/mol of formula units. As for the space group: I-42d.



Which of these has the highest calculated formation energy?
number 8



Among the records above, which one has the highest calculated formation energy?
number 8



What did the fourth record say?
Hf3Au: optimized geometry, PBE.

Cell: 4.218 4.218 9.230 Å, 90.00 90.00 90.00°
Fractional positions:
Hf  0.000  0.000  0.000
Hf  0.000  0.500  0.250
Hf  0.000  0.500  0.750
Hf  0.500  0.000  0.250
Hf  0.500  0.000  0.750
Hf  0.500  0.500  0.500
Au  0.000  0.000  0.500
Au  0.500  0.500  0.000

Summary:
The density of states at the Fermi level is 11.3 states/eV per cell. For the total magnetization, the calculation gives 0.000 μB per formula unit. The value obtained for the calculated formation energy is -73 kJ/mol of formula units. As for the space group: I4/mmm.



Please write out number 7 again, unchanged.
HfHg2Au: optimized geometry, PBE.

Cell: 6.868 6.868 6.868 Å, 90.00 90.00 90.00°
Fractional positions:
Hf  0.000  0.000  0.000
Hf  0.000  0.500  0.500
Hf  0.500  0.000  0.500
Hf  0.500  0.500  0.000
Hg  0.250  0.250  0.250
Hg  0.250  0.250  0.750
Hg  0.250  0.750  0.250
Hg  0.250  0.750  0.750
Hg  0.750  0.250  0.250
Hg  0.750  0.250  0.750
Hg  0.750  0.750  0.250
Hg  0.750  0.750  0.750
Au  0.000  0.000  0.500
Au  0.000  0.500  0.000
Au  0.500  0.000  0.000
Au  0.500  0.500  0.500

Summary:
The density of states at the Fermi level is 9.8 states/eV per cell. For the total magnetization, the calculation gives 0.000 μB per formula unit. Its energy above the most stable polymorph in this dataset is 0 meV per atom. The value obtained for the calculated formation energy is 7 kJ/mol of formula units. As for the space group: Fm-3m.